No. 1
Dy3HoTm2S6: optimized geometry, PBE.

Values from the calculation:
E_form (uncorrected)	-1.9728	eV/atom
crystal system	monoclinic

Cell: 6.6983 11.6565 6.7269 Å, 90.00 109.45 90.00°
With the nearest neighbours (Å) after each atom.
Space group C2/m (No. 12)
One atom of each set of equivalent atoms:
Dy1 0.0000 0.0000 0.0000 (multiplicity 2)  6 S 2.75-2.77
Dy2 0.0000 0.3347 0.0000 (multiplicity 4)  6 S 2.76
Ho1 0.0000 0.5000 0.5000 (multiplicity 2)  6 S 2.73-2.74
Tm1 0.0000 0.1664 0.5000 (multiplicity 4)  6 S 2.72
S1 0.2456 0.0000 0.7446 (multiplicity 4)  2 Tm 2.72, 1 Ho 2.73, 3 Dy 2.75-2.76
S2 0.2503 0.1680 0.2544 (multiplicity 8)  2 Tm 2.72, 1 Ho 2.74, 3 Dy 2.76-2.77

=====

No. 2
Pm3PrNd2Y6: optimized geometry, PBE.

Values from the calculation:
ΔE_f	0.11	eV per formula unit
crystal system	monoclinic

Cell: 6.2885 10.8889 11.8940 Å, 90.00 100.10 90.00°
With the nearest neighbours (Å) after each atom.
Space group C2/m (No. 12)
One atom of each set of equivalent atoms:
Pm1 0.0000 0.0000 0.0000 (multiplicity 2)  6 Y 3.59, 6 Pm 3.63
Pm2 0.0000 0.3332 0.0000 (multiplicity 4)  6 Y 3.59, 6 Pm 3.63
Pr1 0.0000 0.5000 0.5000 (multiplicity 2)  6 Y 3.61, 6 Nd 3.63
Nd1 0.0000 0.1666 0.5000 (multiplicity 4)  6 Y 3.61, 3 Nd 3.63, 3 Pr 3.63
Y1 0.2501 0.0000 0.7510 (multiplicity 4)  3 Pm 3.59, 1 Pr 3.61, 2 Nd 3.61, 6 Y 3.63
Y2 0.2496 0.1667 0.2490 (multiplicity 8)  3 Pm 3.59, 2 Nd 3.61, 1 Pr 3.61, 6 Y 3.63

=====

No. 3
SmAlZn2Cu2: optimized geometry, PBE.

Values from the calculation:
ΔE_f	0.13	eV per formula unit
crystal system	tetragonal

Cell: 4.4514 4.4514 5.6952 Å, 90.00 90.00 90.00°
With the nearest neighbours (Å) after each atom.
Space group P4/mmm (No. 123)
One atom of each set of equivalent atoms:
Sm1 0.0000 0.0000 0.0000 (multiplicity 1)  2 Al 2.85
Al1 0.0000 0.0000 0.5000 (multiplicity 1)  4 Cu 2.23
Zn1 0.5000 0.5000 0.2353 (multiplicity 2)  1 Zn 2.68, 4 Cu 2.69
Cu1 0.0000 0.5000 0.5000 (multiplicity 2)  2 Al 2.23

=====

No. 4
Y3CdRh: optimized geometry, PBE.

Values from the calculation:
offset from the most stable computed form	0.0	meV per atom
ΔE_f	-2.45	eV per formula unit
crystal system	triclinic

Cell: 5.6002 6.1193 8.8468 Å, 102.32 100.21 113.81°
With the nearest neighbours (Å) after each atom.
Space group P-1 (No. 2)
One atom of each set of equivalent atoms:
Y1 0.0614 0.1955 0.2796 (multiplicity 2)  2 Rh 2.87-2.90, 1 Cd 3.16
Y2 0.2854 0.4227 0.7232 (multiplicity 2)  2 Rh 2.87-2.88, 1 Cd 3.16
Y3 0.3015 0.8020 0.1038 (multiplicity 2)  4 Rh 2.92-3.19
Cd1 0.3298 0.7641 0.4972 (multiplicity 2)  1 Cd 2.73
Rh1 0.2486 0.2479 0.9981 (multiplicity 2)  8 Y 2.87-3.19, 1 Rh 3.20

=====

No. 5
LaHoSbSe: optimized geometry, PBE.

Values from the calculation:
E_form (uncorrected)	-1.4405	eV/atom
crystal system	trigonal

Cell: 4.2361 4.2361 22.7970 Å, 90.00 90.00 120.00°
With the nearest neighbours (Å) after each atom.
Space group R3m (No. 160, hexagonal axes)
One atom of each set of equivalent atoms:
La1 0.0000 0.0000 0.0000 (multiplicity 3)  3 Sb 3.18, 3 Se 3.20
Ho1 0.0000 0.0000 0.1674 (multiplicity 3)  3 Se 3.00, 3 Sb 3.01
Sb1 0.0000 0.0000 0.5776 (multiplicity 3)  3 Ho 3.01, 3 La 3.18
Se1 0.0000 0.0000 0.7575 (multiplicity 3)  3 Ho 3.00, 3 La 3.20

=====

No. 6
La3Ta: optimized geometry, PBE.

Values from the calculation:
ΔE_f	2.21	eV per formula unit
crystal system	trigonal

Cell: 11.0433 11.0433 3.2791 Å, 90.00 90.00 120.00°
With the nearest neighbours (Å) after each atom.
Space group R-3m (No. 166, hexagonal axes)
One atom of each set of equivalent atoms:
La1 0.0000 0.5000 0.0000 (multiplicity 9)  6 La 3.28-3.37, 2 Ta 3.37
Ta1 0.0000 0.0000 0.0000 (multiplicity 3)  2 Ta 3.28, 6 La 3.37

=====

No. 7
Nd4TeAs3: optimized geometry, PBE.

Values from the calculation:
E_form (uncorrected)	-1.5306	eV/atom
crystal system	orthorhombic

Cell: 8.6872 12.2404 4.3200 Å, 90.00 90.00 90.00°
With the nearest neighbours (Å) after each atom.
Space group Cmmm (No. 65)
One atom of each set of equivalent atoms:
Nd1 0.0000 0.2427 0.0000 (multiplicity 4)  5 As 2.97-3.06, 1 Te 3.15
Nd2 0.2342 0.0000 0.5000 (multiplicity 4)  4 As 2.97-3.06, 2 Te 3.16
Te1 0.0000 0.5000 0.0000 (multiplicity 2)  6 Nd 3.15-3.16
As1 0.0000 0.0000 0.0000 (multiplicity 2)  6 Nd 2.97
As2 0.2500 0.2500 0.5000 (multiplicity 4)  6 Nd 3.06

=====

No. 8
Ac2Pr7Nd4: optimized geometry, PBE.

Values from the calculation:
ΔE_f	1.96	eV per formula unit
crystal system	trigonal

Cell: 6.4401 6.4401 13.5751 Å, 90.00 90.00 120.00°
With the nearest neighbours (Å) after each atom.
Space group P-31m (No. 162)
One atom of each set of equivalent atoms:
Ac1 0.3333 0.6667 0.0000 (multiplicity 2)  9 Pr 3.68-3.72, 3 Ac 3.72
Pr1 0.0000 0.0000 0.0000 (multiplicity 1)  6 Ac 3.72, 6 Pr 3.88
Pr2 0.0000 0.3702 0.2258 (multiplicity 6)  1 Nd 3.28, 4 Pr 3.53
Nd1 0.0000 0.0000 0.3923 (multiplicity 2)  1 Nd 2.93
Nd2 0.3333 0.6667 0.5000 (multiplicity 2)  9 Nd 3.72-4.00

=====

Question: Number 8 is which compound?
Answer: Ac2Pr7Nd4

=====

Copy entry 3 word for word.
SmAlZn2Cu2: optimized geometry, PBE.

Values from the calculation:
ΔE_f	0.13	eV per formula unit
crystal system	tetragonal

Cell: 4.4514 4.4514 5.6952 Å, 90.00 90.00 90.00°
With the nearest neighbours (Å) after each atom.
Space group P4/mmm (No. 123)
One atom of each set of equivalent atoms:
Sm1 0.0000 0.0000 0.0000 (multiplicity 1)  2 Al 2.85
Al1 0.0000 0.0000 0.5000 (multiplicity 1)  4 Cu 2.23
Zn1 0.5000 0.5000 0.2353 (multiplicity 2)  1 Zn 2.68, 4 Cu 2.69
Cu1 0.0000 0.5000 0.5000 (multiplicity 2)  2 Al 2.23